1.
DFT (PBE) results for a relaxed Tm5HgPd4 crystal.

```
10
Lattice="3.4806 0.0000 0.0000 0.0000 3.4806 0.0000 0.0000 0.0000 17.8177" Properties=species:S:1:pos:R:3 pbc="T T T"
Tm 1.7403 1.7403 2.0554
Tm 1.7403 1.7403 8.9089
Tm 1.7403 1.7403 12.3412
Pd 0.0000 0.0000 3.7131
Tm 1.7403 1.7403 5.4765
Hg 0.0000 0.0000 0.0000
Pd 0.0000 0.0000 10.6308
Tm 1.7403 1.7403 15.7623
Pd 0.0000 0.0000 7.1869
Pd 0.0000 0.0000 14.1046
```

## Properties
Total DFT energy (no corrections) = -51.9 eV per cell
ΔH_f (0 K) = -844 meV/atom
Total magnetic moment = 0.000 μB per atom

2.
DFT (PBE) results for a relaxed SrZnInRu2 crystal.

```
5
Lattice="-0.6334 2.1350 4.5396 -4.3838 -2.1512 0.4000 2.1675 -4.0101 2.1883" Properties=species:S:1:pos:R:3 pbc="T T T"
Ru 1.0837 -2.0050 1.0942
Sr -1.4248 -2.0131 3.5640
In 0.0000 0.0000 0.0000
Ru -0.3167 1.0675 2.2698
Zn -2.1919 -1.0756 0.2000
```

## Properties
Total DFT energy (no corrections) = -19.5 eV per cell
ΔH_f (0 K) = 954 meV/atom
Total magnetic moment = 0.417 μB per atom

3.
DFT (PBE) results for a relaxed AgBiTe2 crystal.

```
4
Lattice="0.4050 -1.7780 8.8352 1.3087 -5.8457 6.7454 4.6888 -2.6722 7.2292" Properties=species:S:1:pos:R:3 pbc="T T T"
Te 5.7468 -9.2415 20.4739
Te 0.6557 -1.0544 2.3359
Ag 0.0000 0.0000 0.0000
Bi 3.2012 -5.1479 11.4049
```

## Properties
Total DFT energy (no corrections) = -13.3 eV per cell
Total magnetic moment = 0.000 μB per atom
Formation energy from raw total energies = -0.073 eV per atom

4.
DFT (PBE) results for a relaxed RbTaP2Cl crystal.

```
5
Lattice="4.8448 0.0000 0.0000 0.0000 4.8448 0.0000 0.0000 0.0000 5.3141" Properties=species:S:1:pos:R:3 pbc="T T T"
P 2.4224 0.0000 0.0000
Cl 0.0000 0.0000 2.6571
Ta 0.0000 0.0000 0.0000
Rb 2.4224 2.4224 2.6571
P 0.0000 2.4224 0.0000
```

## Properties
Total DFT energy (no corrections) = -28.0 eV per cell
Total magnetic moment = 0.061 μB per atom
Formation energy from raw total energies = -0.494 eV per atom
Excess energy over the best structure of this formula in the dataset = 0.0 kJ per mole of atoms

5.
DFT (PBE) results for a relaxed SrAg2Os crystal.

```
4
Lattice="2.8246 0.0000 0.0000 0.0000 4.5032 0.0000 0.0000 0.0000 6.4089" Properties=species:S:1:pos:R:3 pbc="T T T"
Sr 1.4123 2.2516 4.7275
Ag 0.0000 0.0000 0.2330
Os 0.0000 0.0000 3.0017
Ag 1.4123 2.2516 1.6511
```

## Properties
Total DFT energy (no corrections) = -16.1 eV per cell
ΔH_f (0 K) = 621 meV/atom
Total magnetic moment = 0.000 μB per atom
Excess energy over the best structure of this formula in the dataset = 2.0 kJ per mole of atoms

6.
DFT (PBE) results for a relaxed MgTl2Tc crystal.

```
4
Lattice="-1.9737 -2.1287 1.2081 2.4379 -1.8724 0.6611 0.7502 3.7298 7.7976" Properties=species:S:1:pos:R:3 pbc="T T T"
Mg 0.4197 -1.0681 2.8840
Tc 0.7947 0.7968 6.7828
Tl 0.3897 1.9378 4.0512
Tl 0.7355 3.6569 7.6452
```

## Properties
Total DFT energy (no corrections) = -14.6 eV per cell
ΔH_f (0 K) = 522 meV/atom
Total magnetic moment = 0.425 μB per atom
Excess energy over the best structure of this formula in the dataset = 12.2 kJ per mole of atoms

7.
DFT (PBE) results for a relaxed MnS2N2 crystal.

```
5
Lattice="-1.0040 -2.7806 1.9222 2.7765 0.4654 2.1235 -2.9230 3.2110 3.1182" Properties=species:S:1:pos:R:3 pbc="T T T"
Mn 0.0000 0.0000 0.0000
N 1.3883 0.2327 1.0617
N -0.5020 -1.3903 0.9611
S -0.5753 0.4479 3.5819
S -1.4615 1.6055 1.5591
```

## Properties
Total DFT energy (no corrections) = -30.0 eV per cell
Total magnetic moment = 0.022 μB per atom
Formation energy from raw total energies = 0.808 eV per atom
Excess energy over the best structure of this formula in the dataset = 108.0 kJ per mole of atoms

8.
DFT (PBE) results for a relaxed MgP2 crystal.

```
3
Lattice="-1.5910 -2.6860 0.4821 4.4419 -1.1519 -2.1076 1.4567 -0.2807 3.2439" Properties=species:S:1:pos:R:3 pbc="T T T"
P 1.1643 -2.3259 1.2332
Mg -1.5909 -2.6858 0.4820
P 3.1432 -1.7928 0.3851
```

## Properties
Total DFT energy (no corrections) = -12.8 eV per cell
ΔH_f (0 K) = -129 meV/atom
Total magnetic moment = 0.000 μB per atom